An optimized crystal structure of Dy5AlSe4. Source: Alexandria, functional PBE.

The structure in POSCAR format:
```
Dy5AlSe4
1.0
5.229 0.000 2.522
2.614 6.527 1.261
-0.221 0.000 7.140
Dy Se Al
5 4 1
direct
0.501 0.000 0.000
0.903 0.395 0.801
0.704 0.199 0.395
0.099 0.605 0.199
0.298 0.801 0.605
0.402 0.401 0.797
0.803 0.797 0.599
0.199 0.203 0.401
0.600 0.599 0.203
0.001 0.000 0.000
```

Calculated values
The uncorrected formation energy comes out at -1.487 eV/atom. As for the energy: -0.20417 Ha/atom. The density of states at the Fermi level is 3.39 states/eV/f.u. Its space-group type is I4/m, No. 87.